{
  "formula": "Hf2ScTa",
  "functional": "GGA-PBE",
  "state": "optimized geometry",
  "dos_at_fermi_per_ev_fu": 5.9,
  "volume_a3_per_cell": 87,
  "magnetic_moment_mub_per_fu": 0.25,
  "polymorph_energy_ev_per_fu": 0.008,
  "lattice_angstrom": [[1.5719, 0.9075, 10.1428], [-1.5719, 0.9075, 10.1428], [0.0000, -1.8150, 10.1428]],
  "species": ["Hf", "Hf", "Sc", "Ta"],
  "frac_coords": [[0.0000, 0.0000, 0.0000], [0.1743, 0.1743, 0.1743], [0.4201, 0.4201, 0.4201], [0.5870, 0.5870, 0.5870]]
}